Tl2Cd2Si: optimized geometry, GGA-PBE.

Summary:
- Spin magnetization: 0.00 μB/f.u.
- V: 26.61 Å³/atom
- E: -2.16 eV/atom
- Formation energy (no corrections): 0.24 eV/atom

a = 7.0431 Å, b = 7.0431 Å, c = 5.3652 Å
α = 90.00°, β = 90.00°, γ = 90.00°
Last column: nearest neighbours and their distance in Å.
Element x y z (fractional)
1 Tl 0.1718 0.3282 0.0000  6 Cd 3.24-3.50, 1 Tl 3.42
2 Tl 0.3282 0.8282 0.0000  6 Cd 3.24-3.50, 1 Tl 3.42
3 Tl 0.6718 0.1718 0.0000  6 Cd 3.24-3.50, 1 Tl 3.42
4 Tl 0.8282 0.6718 0.0000  6 Cd 3.24-3.50, 1 Tl 3.42
5 Cd 0.1462 0.6462 0.5000  2 Si 2.70, 1 Cd 2.91
6 Cd 0.3538 0.1462 0.5000  2 Si 2.70, 1 Cd 2.91
7 Cd 0.6462 0.8538 0.5000  2 Si 2.70, 1 Cd 2.91
8 Cd 0.8538 0.3538 0.5000  2 Si 2.70, 1 Cd 2.91
9 Si 0.0000 0.0000 0.5000  4 Cd 2.70
10 Si 0.5000 0.5000 0.5000  4 Cd 2.70

Tl2CdSi: optimized geometry, GGA-PBE.

Summary:
- Spin magnetization: 0.00 μB/f.u.
- Distance to the lowest polymorph of the same formula: 106 meV/atom
- V: 25.55 Å³/atom
- E: -2.40 eV/atom
- Formation energy (no corrections): 0.37 eV/atom

a = 3.4456 Å, b = 3.4456 Å, c = 29.8152 Å
α = 90.00°, β = 90.00°, γ = 120.00°
Last column: nearest neighbours and their distance in Å.
Element x y z (fractional)
1 Tl 0.0000 0.0000 0.2451  3 Si 3.07, 3 Cd 3.30
2 Tl 0.0000 0.0000 0.7549  3 Si 3.07, 3 Cd 3.30
3 Tl 0.3333 0.6667 0.4216  3 Si 3.07, 3 Cd 3.30
4 Tl 0.3333 0.6667 0.9117  3 Si 3.07, 3 Cd 3.30
5 Tl 0.6667 0.3333 0.0883  3 Si 3.07, 3 Cd 3.30
6 Tl 0.6667 0.3333 0.5784  3 Si 3.07, 3 Cd 3.30
7 Cd 0.0000 0.0000 0.0000  6 Tl 3.30, 6 Cd 3.45
8 Cd 0.3333 0.6667 0.6667  6 Tl 3.30, 6 Cd 3.45
9 Cd 0.6667 0.3333 0.3333  6 Tl 3.30, 6 Cd 3.45
10 Si 0.0000 0.0000 0.5000  6 Tl 3.07
11 Si 0.3333 0.6667 0.1667  6 Tl 3.07
12 Si 0.6667 0.3333 0.8333  6 Tl 3.07

TlCd2Si: optimized geometry, GGA-PBE.

Summary:
- Spin magnetization: 0.00 μB/f.u.
- Distance to the lowest polymorph of the same formula: 4 meV/atom
- V: 25.94 Å³/atom
- E: -2.12 eV/atom
- Formation energy (no corrections): 0.28 eV/atom

a = 8.8886 Å, b = 3.4062 Å, c = 7.3758 Å
α = 90.00°, β = 111.67°, γ = 90.00°
Last column: nearest neighbours and their distance in Å.
Element x y z (fractional)
1 Tl 0.0000 0.0000 0.0000  2 Si 2.96, 3 Cd 3.08-3.20
2 Tl 0.5000 0.5000 0.0000  2 Si 2.96, 3 Cd 3.08-3.20
3 Cd 0.1054 0.5000 0.5375  3 Si 2.61-2.70
4 Cd 0.3051 0.5000 0.2692  3 Tl 3.08-3.20, 5 Cd 3.11-3.41, 2 Si 3.16
5 Cd 0.6054 0.0000 0.5375  3 Si 2.61-2.70
6 Cd 0.8051 0.0000 0.2692  3 Tl 3.08-3.20, 5 Cd 3.11-3.41, 2 Si 3.16
7 Si 0.3589 0.0000 0.6497  3 Cd 2.61-2.70
8 Si 0.8589 0.5000 0.6497  3 Cd 2.61-2.70

Tl2CdSi: optimized geometry, GGA-PBE.

Summary:
- Spin magnetization: 0.00 μB/f.u.
- Distance to the lowest polymorph of the same formula: 114 meV/atom
- V: 25.44 Å³/atom
- E: -2.39 eV/atom
- Formation energy (no corrections): 0.38 eV/atom

a = 7.4115 Å, b = 7.4115 Å, c = 7.4115 Å
α = 90.00°, β = 90.00°, γ = 90.00°
Last column: nearest neighbours and their distance in Å.
Element x y z (fractional)
1 Tl 0.2500 0.2500 0.2500  4 Cd 3.21, 4 Si 3.21
2 Tl 0.2500 0.2500 0.7500  4 Cd 3.21, 4 Si 3.21
3 Tl 0.2500 0.7500 0.2500  4 Cd 3.21, 4 Si 3.21
4 Tl 0.2500 0.7500 0.7500  4 Cd 3.21, 4 Si 3.21
5 Tl 0.7500 0.2500 0.2500  4 Cd 3.21, 4 Si 3.21
6 Tl 0.7500 0.2500 0.7500  4 Cd 3.21, 4 Si 3.21
7 Tl 0.7500 0.7500 0.2500  4 Cd 3.21, 4 Si 3.21
8 Tl 0.7500 0.7500 0.7500  4 Cd 3.21, 4 Si 3.21
9 Cd 0.0000 0.0000 0.0000  8 Tl 3.21
10 Cd 0.0000 0.5000 0.5000  8 Tl 3.21
11 Cd 0.5000 0.0000 0.5000  8 Tl 3.21
12 Cd 0.5000 0.5000 0.0000  8 Tl 3.21
13 Si 0.0000 0.0000 0.5000  8 Tl 3.21
14 Si 0.0000 0.5000 0.0000  8 Tl 3.21
15 Si 0.5000 0.0000 0.0000  8 Tl 3.21
16 Si 0.5000 0.5000 0.5000  8 Tl 3.21

Tl2CdSi2: optimized geometry, GGA-PBE.

Summary:
- Spin magnetization: 0.00 μB/f.u.
- Distance to the lowest polymorph of the same formula: 202 meV/atom
- V: 25.78 Å³/atom
- E: -2.86 eV/atom
- Formation energy (no corrections): 0.44 eV/atom

a = 5.0562 Å, b = 5.0562 Å, c = 10.0857 Å
α = 90.00°, β = 90.00°, γ = 90.00°
Last column: nearest neighbours and their distance in Å.
Element x y z (fractional)
1 Tl 0.0000 0.5000 0.2500  4 Si 2.87
2 Tl 0.0000 0.5000 0.7500  4 Si 2.87
3 Tl 0.5000 0.0000 0.2500  4 Si 2.87
4 Tl 0.5000 0.0000 0.7500  4 Si 2.87
5 Cd 0.0000 0.0000 0.0000  8 Tl 3.57, 10 Si 3.76-3.88
6 Cd 0.5000 0.5000 0.5000  8 Tl 3.57, 10 Si 3.76-3.88
7 Si 0.0000 0.0000 0.3850  1 Si 2.32
8 Si 0.0000 0.0000 0.6150  1 Si 2.32
9 Si 0.5000 0.5000 0.1150  1 Si 2.32
10 Si 0.5000 0.5000 0.8850  1 Si 2.32

TlCd2Si: optimized geometry, GGA-PBE.

Summary:
- Spin magnetization: 0.00 μB/f.u.
- Distance to the lowest polymorph of the same formula: 80 meV/atom
- V: 28.05 Å³/atom
- E: -2.05 eV/atom
- Formation energy (no corrections): 0.36 eV/atom

a = 5.1412 Å, b = 5.1412 Å, c = 16.9785 Å
α = 90.00°, β = 90.00°, γ = 90.00°
Last column: nearest neighbours and their distance in Å.
Element x y z (fractional)
1 Tl 0.0000 0.0000 0.0000  4 Cd 3.03
2 Tl 0.0000 0.5000 0.2500  4 Cd 3.03
3 Tl 0.5000 0.0000 0.7500  4 Cd 3.03
4 Tl 0.5000 0.5000 0.5000  4 Cd 3.03
5 Cd 0.1620 0.2500 0.6250  2 Si 2.62
6 Cd 0.2500 0.6620 0.8750  2 Si 2.62
7 Cd 0.2500 0.8380 0.3750  2 Si 2.62
8 Cd 0.3380 0.2500 0.1250  2 Si 2.62
9 Cd 0.6620 0.7500 0.1250  2 Si 2.62
10 Cd 0.7500 0.1620 0.3750  2 Si 2.62
11 Cd 0.7500 0.3380 0.8750  2 Si 2.62
12 Cd 0.8380 0.7500 0.6250  2 Si 2.62
13 Si 0.0000 0.0000 0.5000  4 Cd 2.62
14 Si 0.0000 0.5000 0.7500  4 Cd 2.62
15 Si 0.5000 0.0000 0.2500  4 Cd 2.62
16 Si 0.5000 0.5000 0.0000  4 Cd 2.62

> What is the spin magnetization in the first record?

0.00 μB/f.u.